A crystal of Al2Cr relaxed with PBEsol, computed with meta-GGA SCAN.

Unit cell a=4.3249 b=4.3249 c=2.6124 alpha=90.00 beta=90.00 gamma=90.00
Last column: nearest neighbours and their distance in Å.
Space group P4/mmm (No. 123)
Inequivalent atoms, fractional coordinates:
Al 0.0000 0.5000 0.0000 x2  4 Cr 2.53, 2 Al 2.61
Cr 0.0000 0.0000 0.5000 x1  8 Al 2.53, 2 Cr 2.61

Final energy (eV/atom): -11.316
Spin magnetization (μB per formula unit): 0.52
Crystal system: tetragonal
Formation energy from the elements (meV/atom): -19
V (A^3/atom): 16.3